Record 1
DFT (PBE) results for BaPbW2 after structural relaxation.

Cell lengths 8.6336, 3.2297, 7.7062 Å; angles 90.00, 96.58, 90.00 degrees
Last column: nearest neighbours and their distance in Å.
Positions (direct):
1 Ba 0.0000 0.0000 0.0000  2 Ba 3.23, 3 W 3.32-3.59, 1 Pb 3.54
2 Ba 0.5000 0.5000 0.0000  2 Ba 3.23, 3 W 3.32-3.59, 1 Pb 3.54
3 Pb 0.2401 0.0000 0.6576  5 W 2.94-3.11, 2 Pb 3.23
4 Pb 0.7401 0.5000 0.6576  5 W 2.94-3.11, 2 Pb 3.23
5 W 0.2726 0.5000 0.3194  3 W 2.60-2.65
6 W 0.4957 0.0000 0.4366  3 W 2.60-2.65
7 W 0.7726 0.0000 0.3194  3 W 2.60-2.65
8 W 0.9957 0.5000 0.4366  3 W 2.60-2.65

Properties
Raw total energy, eV per atom: -7.130
Formation enthalpy at 0 K, meV per atom: 754

---

Record 2
DFT (PBE) results for BaPbW2 after structural relaxation.

Cell lengths 3.4971, 5.2578, 10.5675 Å; angles 90.00, 90.00, 90.00 degrees
Last column: nearest neighbours and their distance in Å.
Positions (direct):
1 Ba 0.0000 0.0000 0.0000  6 Ba 3.16-3.50, 2 W 3.41
2 Ba 0.5000 0.5000 0.0000  6 Ba 3.16-3.50, 2 W 3.41
3 Pb 0.0000 0.5000 0.6868  2 W 3.06, 4 Pb 3.16
4 Pb 0.5000 0.0000 0.6868  2 W 3.06, 4 Pb 3.16
5 W 0.0000 0.0000 0.4489  2 W 2.52
6 W 0.0000 0.5000 0.2769  2 W 2.52
7 W 0.5000 0.0000 0.2769  2 W 2.52
8 W 0.5000 0.5000 0.4489  2 W 2.52

Properties
Raw total energy, eV per atom: -7.058
Formation enthalpy at 0 K, meV per atom: 826

---

Record 3
DFT (PBE) results for BaPbW after structural relaxation.

Cell lengths 4.2516, 4.7876, 15.9119 Å; angles 90.00, 90.00, 90.00 degrees
Last column: nearest neighbours and their distance in Å.
Positions (direct):
1 Ba 0.0000 0.0000 0.0000  4 Ba 3.20, 4 W 3.39-3.57
2 Ba 0.0000 0.5000 0.5000  4 Ba 3.20, 4 W 3.39-3.57
3 Ba 0.5000 0.0000 0.5000  4 Ba 3.20, 4 W 3.39-3.57
4 Ba 0.5000 0.5000 0.0000  4 Ba 3.20, 4 W 3.39-3.57
5 Pb 0.0000 0.0000 0.7016  4 W 2.99-3.19, 4 Pb 3.20
6 Pb 0.0000 0.5000 0.2016  4 W 2.99-3.19, 4 Pb 3.20
7 Pb 0.5000 0.0000 0.2016  4 W 2.99-3.19, 4 Pb 3.20
8 Pb 0.5000 0.5000 0.7016  4 W 2.99-3.19, 4 Pb 3.20
9 W 0.0000 0.0000 0.3339  4 Pb 2.99-3.19, 4 W 3.20
10 W 0.0000 0.5000 0.8339  4 Pb 2.99-3.19, 4 W 3.20
11 W 0.5000 0.0000 0.8339  4 Pb 2.99-3.19, 4 W 3.20
12 W 0.5000 0.5000 0.3339  4 Pb 2.99-3.19, 4 W 3.20

Properties
ΔE to the lowest computed polymorph, meV/atom: 70
Raw total energy, eV per atom: -5.241
Formation enthalpy at 0 K, meV per atom: 954

---

Record 4
DFT (PBE) results for Ba2PbW after structural relaxation.

Cell lengths 3.8471, 4.8437, 7.4721 Å; angles 90.00, 90.00, 90.00 degrees
Last column: nearest neighbours and their distance in Å.
Positions (direct):
1 Ba 0.0000 0.0000 0.2420  4 W 3.58, 4 Ba 3.62-3.86, 4 Pb 3.64
2 Ba 0.0000 0.0000 0.7580  4 W 3.58, 4 Ba 3.62-3.86, 4 Pb 3.64
3 Pb 0.5000 0.5000 0.5000  8 Ba 3.64, 2 W 3.74, 2 Pb 3.85
4 W 0.5000 0.5000 0.0000  8 Ba 3.58, 2 Pb 3.74, 2 W 3.85

Properties
Raw total energy, eV per atom: -4.261
Formation enthalpy at 0 K, meV per atom: 866

---

> raw total energy of number 2 (BaPbW2)?

-7.058 eV per atom